The following is a PBE-GGA calculation of a relaxed structure of CaTbMgTl, from the Alexandria database.

Lattice parameters (Å, degrees): 5.4197 5.4197 5.4197 60.00 60.00 60.00
With the nearest neighbours (Å) after each atom.
Positions (direct):
1 Ca 0.0000 0.0000 0.0000  4 Mg 3.32, 4 Tl 3.32
2 Tb 0.5000 0.5000 0.5000  4 Tl 3.32, 4 Mg 3.32
3 Tl 0.7500 0.7500 0.7500  4 Tb 3.32, 4 Ca 3.32
4 Mg 0.2500 0.2500 0.2500  4 Tb 3.32, 4 Ca 3.32

Summary:
E_tot (eV per atom): -2.9050
Total magnetization (μB per cell): 0.0

=====

The following is a PBE-GGA calculation of a relaxed structure of CeTl2InCl6, from the Alexandria database.

Lattice parameters (Å, degrees): 7.6083 8.2855 11.0187 90.00 86.88 90.00
With the nearest neighbours (Å) after each atom.
Positions (direct):
1 Tl 0.5259 0.5697 0.7665  6 Cl 3.18-3.53
2 Tl 0.0259 0.9303 0.2665  6 Cl 3.18-3.53
3 Tl 0.9741 0.0697 0.7335  6 Cl 3.18-3.53
4 Tl 0.4741 0.4303 0.2335  6 Cl 3.18-3.53
5 Cl 0.3652 0.9352 0.7339  1 Ce 2.77
6 Cl 0.3339 0.7247 0.4192  1 Ce 2.78
7 Cl 0.3028 0.6701 0.0453  1 Ce 2.77
8 Cl 0.1972 0.1701 0.4547  1 Ce 2.77
9 Cl 0.1661 0.2247 0.0808  1 Ce 2.78
10 Cl 0.8652 0.5648 0.2339  1 Ce 2.77
11 Cl 0.6972 0.3299 0.9547  1 Ce 2.77
12 Cl 0.8339 0.7753 0.9192  1 Ce 2.78
13 Cl 0.8028 0.8299 0.5453  1 Ce 2.77
14 Cl 0.6661 0.2753 0.5808  1 Ce 2.78
15 Cl 0.1348 0.4352 0.7661  1 Ce 2.77
16 Cl 0.6348 0.0648 0.2661  1 Ce 2.77
17 Ce 0.5000 0.0000 0.5000  6 Cl 2.77-2.78
18 Ce 0.0000 0.5000 0.0000  6 Cl 2.77-2.78
19 In 0.5000 0.0000 0.0000  6 Cl 3.14-3.23
20 In 0.0000 0.5000 0.5000  6 Cl 3.14-3.23

Summary:
E_tot (eV per atom): -3.9185
Total magnetization (μB per cell): 2.0

=====

The following is a PBE-GGA calculation of a relaxed structure of RbSiPt3, from the Alexandria database.

Lattice parameters (Å, degrees): 5.0620 5.0620 5.0620 90.00 90.00 90.00
With the nearest neighbours (Å) after each atom.
Positions (direct):
1 Rb 0.0000 0.0000 0.0000  6 Pt 2.53
2 Pt 0.0000 0.0000 0.5000  2 Rb 2.53
3 Pt 0.5000 0.0000 0.0000  2 Rb 2.53
4 Pt 0.0000 0.5000 0.0000  2 Rb 2.53
5 Si 0.5000 0.5000 0.5000  12 Pt 3.58

Summary:
Energy relative to the lowest polymorph listed for this composition (meV per atom): 2665
E_tot (eV per atom): -2.5449
Total magnetization (μB per cell): 0.0

=====

Question: Which of these has the highest E_tot?
Answer: RbSiPt3